First-principles (PBE-GGA) data for a relaxed NdHoPdAu crystal, as listed in Alexandria.

Output
As for the energy: -5.30 eV per atom. As for the calculated formation energy: -0.851 eV per atom. The value obtained for the energy relative to the lowest polymorph listed for this composition is 0 meV/atom. Its total magnetization is 0.00 μB per formula unit.

Lattice parameters (Å, degrees): 3.8195 4.7453 5.7009 90.00 109.57 90.00
Atoms (fractional coordinates):
Nd  0.1400  0.0000  0.2800
Ho  0.8641  0.5000  0.7283
Au  0.5830  0.5000  0.1659
Pd  0.4129  0.0000  0.8258